1.
DFT (GGA-PBEsol) results for crystalline Be3InBr at its relaxed geometry.

POSCAR file:
```
Be3InBr
1.0
4.467 0.000 0.000
0.000 4.467 0.000
0.000 0.000 4.467
Be In Br
3 1 1
Direct
0.000 0.000 0.500
0.000 0.500 0.000
0.500 0.000 0.000
0.500 0.500 0.500
0.000 0.000 0.000
```

Values from the calculation:
Uncorrected energy (eV per atom): -2.101
Symmetry: Pm-3m, No. 221

2.
DFT (GGA-PBEsol) results for crystalline BeInBr2 at its relaxed geometry.

POSCAR file:
```
BeInBr2
1.0
5.130 0.000 0.000
0.000 5.130 0.000
0.000 0.000 3.638
Be In Br
1 1 2
Direct
0.000 0.000 0.000
0.500 0.500 0.000
0.000 0.500 0.500
0.500 0.000 0.500
```

Values from the calculation:
Energy above the lowest structure with this stoichiometry (eV per atom): 0.4963
Uncorrected energy (eV per atom): -2.452
Symmetry: P4/mmm, No. 123

What is the formula in the first record?
Be3InBr

Which value of uncorrected energy does entry 2 give?
-2.452 eV per atom